Li2AcNd | the Alexandria database | PBE-GGA | optimized geometry; ΔE to the lowest computed polymorph = 0.000 eV per atom; formation energy = 0.133 eV per atom; volume = 121.6 Å³ per cell; DOS(E_F) = 6.34 states/eV per cell
1.0
-2.320 -2.960 -1.249
2.863 -2.604 0.853
-2.848 -0.787 7.157
Ac Nd Li
1 1 2
Direct
0.500 0.500 0.000
0.500 0.500 0.500
0.000 0.000 0.265
0.000 0.000 0.735